The following is a DFT calculation (PBEsol) of LaAs2 after structural relaxation.

```
12
Lattice="-2.094 2.094 16.129 2.094 -2.094 16.129 2.094 2.094 -16.129" Properties=species:S:1:pos:R:3 pbc="T T T"
La 2.094 1.047 1.802
La 2.094 1.047 6.263
La 0.000 1.047 9.867
La 0.000 1.047 14.327
As 2.094 -1.047 8.772
As 2.094 1.047 -4.018
As 2.094 -1.047 15.422
As 0.000 1.047 4.047
As 2.094 1.047 12.083
As 0.000 3.142 0.707
As 0.000 1.047 20.147
As 0.000 3.142 7.358
```

## Properties
The calculation puts the total energy at -6.220 eV per atom. The crystal system is tetragonal. Its space group is I4_1/amd (141). The volume comes out at 283 Å³/cell.

---

The following is a DFT calculation (PBEsol) of Ru2W after structural relaxation.

```
6
Lattice="4.972 -1.364 0.000 4.972 1.364 0.000 -1.634 0.000 6.249" Properties=species:S:1:pos:R:3 pbc="T T T"
Ru -0.175 0.000 1.904
Ru 2.025 0.000 6.081
Ru 6.285 0.000 0.168
Ru 8.485 0.000 4.345
W 2.533 0.000 2.182
W 5.778 0.000 4.067
```

## Properties
The calculation puts the total energy at -11.377 eV per atom. The crystal system is monoclinic. Its space group is C2/m (12). The volume comes out at 85 Å³/cell.

---

The following is a DFT calculation (PBEsol) of BaTiSe3 after structural relaxation.

```
10
Lattice="6.963 0.000 0.000 -3.481 6.030 0.000 0.000 0.000 5.919" Properties=species:S:1:pos:R:3 pbc="T T T"
Ba 0.000 4.020 1.480
Ba 3.481 2.010 4.439
Ti 0.000 0.000 0.000
Ti 0.000 0.000 2.959
Se 0.000 2.069 4.439
Se -1.690 4.996 4.439
Se 1.792 1.034 1.480
Se 1.690 4.996 4.439
Se 5.171 1.034 1.480
Se 3.481 3.961 1.480
```

## Properties
The calculation puts the total energy at -5.917 eV per atom. The value obtained for the formation energy from raw total energies is -1.51 eV per atom. The crystal system is hexagonal. Its space group is P6_3/mmc (194). The volume comes out at 249 Å³/cell.

---

The following is a DFT calculation (PBEsol) of SrInTcMo2 after structural relaxation.

```
5
Lattice="5.023 0.000 0.000 0.000 5.023 0.000 0.000 0.000 5.504" Properties=species:S:1:pos:R:3 pbc="T T T"
Sr 0.000 0.000 0.000
In 0.000 0.000 2.752
Tc 2.511 2.511 0.000
Mo 0.000 2.511 2.752
Mo 2.511 0.000 2.752
```

## Properties
The calculation puts the total energy at -5.314 eV per atom. The crystal system is tetragonal. Its space group is P4/mmm (123). The volume comes out at 139 Å³/cell.

---

The following is a DFT calculation (PBEsol) of CdSiSb after structural relaxation.

```
3
Lattice="0.000 3.313 3.313 3.313 0.000 3.313 3.313 3.313 0.000" Properties=species:S:1:pos:R:3 pbc="T T T"
Cd 0.000 0.000 0.000
Si 1.656 1.656 1.656
Sb 3.313 3.313 3.313
```

## Properties
The calculation puts the total energy at -3.461 eV per atom. The value obtained for the formation energy from raw total energies is 0.37 eV per atom. The crystal system is cubic. Its space group is F-43m (216). The volume comes out at 73 Å³/cell.

---

The following is a DFT calculation (PBEsol) of SrCaMg3 after structural relaxation.

```
5
Lattice="5.804 0.000 0.000 0.000 5.804 0.000 0.000 0.000 5.804" Properties=species:S:1:pos:R:3 pbc="T T T"
Sr 0.000 0.000 0.000
Ca 2.902 2.902 2.902
Mg 0.000 2.902 2.902
Mg 2.902 0.000 2.902
Mg 2.902 2.902 0.000
```

## Properties
The calculation puts the total energy at -1.295 eV per atom. The crystal system is cubic. Its space group is Pm-3m (221). The volume comes out at 196 Å³/cell.

---

The following is a DFT calculation (PBEsol) of Ni8Os after structural relaxation.

```
9
Lattice="-3.709 3.709 1.762 3.709 -3.709 1.762 3.709 3.709 -1.762" Properties=species:S:1:pos:R:3 pbc="T T T"
Ni 2.478 0.000 0.000
Ni 4.940 0.000 0.000
Ni 0.000 2.478 0.000
Ni 2.475 2.475 0.000
Ni 1.234 -1.234 1.762
Ni 0.000 4.940 0.000
Ni -1.234 1.234 1.762
Ni 1.234 1.234 1.762
Os 0.000 0.000 0.000
```

## Properties
The calculation puts the total energy at -6.775 eV per atom. The crystal system is tetragonal. Its space group is I4/mmm (139). The volume comes out at 97 Å³/cell.

---

The following is a DFT calculation (PBEsol) of MnAgSb2 after structural relaxation.

```
4
Lattice="-2.245 2.245 4.016 2.245 -2.245 4.016 2.245 2.245 -4.016" Properties=species:S:1:pos:R:3 pbc="T T T"
Mn 0.000 0.000 0.000
Ag 0.000 0.000 4.016
Sb 2.245 0.000 2.008
Sb 0.000 2.245 2.008
```

## Properties
The calculation puts the total energy at -5.246 eV per atom. The value obtained for the formation energy from raw total energies is 0.30 eV per atom. The crystal system is tetragonal. Its space group is I4/mmm (139). The volume comes out at 81 Å³/cell.

---

The following is a DFT calculation (PBEsol) of FeGeTe2I after structural relaxation.

```
5
Lattice="4.956 0.000 0.000 0.000 4.956 0.000 0.000 0.000 5.286" Properties=species:S:1:pos:R:3 pbc="T T T"
Fe 0.000 0.000 0.000
Ge 2.478 2.478 2.643
Te 0.000 2.478 0.000
Te 2.478 0.000 0.000
I 0.000 0.000 2.643
```

## Properties
The calculation puts the total energy at -4.066 eV per atom. The value obtained for the formation energy from raw total energies is 0.48 eV per atom. The crystal system is tetragonal. Its space group is P4/mmm (123). The volume comes out at 130 Å³/cell.

---

The following is a DFT calculation (PBEsol) of Sr2Ag2Sb after structural relaxation.

```
5
Lattice="-1.975 1.975 9.054 1.975 -1.975 9.054 1.975 1.975 -9.054" Properties=species:S:1:pos:R:3 pbc="T T T"
Sr 0.000 0.000 1.891
Sr 0.000 0.000 16.217
Ag 1.975 0.000 4.527
Ag 0.000 1.975 4.527
Sb 0.000 0.000 9.054
```

## Properties
The calculation puts the total energy at -3.385 eV per atom. The value obtained for the formation energy from raw total energies is -0.41 eV per atom. The crystal system is tetragonal. Its space group is I4/mmm (139). The volume comes out at 141 Å³/cell.

---

The following is a DFT calculation (PBEsol) of ZnHW3 after structural relaxation.

```
5
Lattice="3.970 0.000 0.000 0.000 3.970 0.000 0.000 0.000 3.970" Properties=species:S:1:pos:R:3 pbc="T T T"
Zn 0.000 0.000 0.000
H 1.985 1.985 1.985
W 0.000 1.985 1.985
W 1.985 0.000 1.985
W 1.985 1.985 0.000
```

## Properties
The calculation puts the total energy at -8.929 eV per atom. The crystal system is cubic. Its space group is Pm-3m (221). The volume comes out at 63 Å³/cell.

---

The following is a DFT calculation (PBEsol) of TiTc2MoI after structural relaxation.

```
5
Lattice="4.460 0.000 0.000 0.000 4.460 0.000 0.000 0.000 5.005" Properties=species:S:1:pos:R:3 pbc="T T T"
Ti 0.000 0.000 0.000
Tc 0.000 2.230 0.000
Tc 2.230 0.000 0.000
Mo 2.230 2.230 2.502
I 0.000 0.000 2.502
```

## Properties
The calculation puts the total energy at -7.057 eV per atom. The value obtained for the formation energy from raw total energies is 1.82 eV per atom. The crystal system is tetragonal. Its space group is P4/mmm (123). The volume comes out at 100 Å³/cell.

---

The following is a DFT calculation (PBEsol) of RbNa3Sn after structural relaxation.

```
5
Lattice="5.995 0.000 0.000 0.000 5.995 0.000 0.000 0.000 5.995" Properties=species:S:1:pos:R:3 pbc="T T T"
Rb 0.000 0.000 0.000
Na 0.000 2.998 2.998
Na 2.998 0.000 2.998
Na 2.998 2.998 0.000
Sn 2.998 2.998 2.998
```

## Properties
The calculation puts the total energy at -1.967 eV per atom. The crystal system is cubic. Its space group is Pm-3m (221). The volume comes out at 215 Å³/cell.

---

The following is a DFT calculation (PBEsol) of Sb2IrPt after structural relaxation.

```
4
Lattice="3.251 0.000 0.000 0.000 3.282 0.000 0.000 0.000 6.926" Properties=species:S:1:pos:R:3 pbc="T T T"
Sb 0.000 0.000 1.685
Sb 0.000 0.000 5.241
Ir 1.626 1.641 0.000
Pt 1.626 1.641 3.463
```

## Properties
The calculation puts the total energy at -6.368 eV per atom. The value obtained for the formation energy from raw total energies is 0.11 eV per atom. The crystal system is orthorhombic. Its space group is Pmmm (47). The volume comes out at 74 Å³/cell.

---

The following is a DFT calculation (PBEsol) of Mn3V17Si12 after structural relaxation.

```
32
Lattice="13.039 0.000 0.000 0.000 6.517 2.326 0.000 -6.517 2.326" Properties=species:S:1:pos:R:3 pbc="T T T"
Mn 0.000 0.000 0.000
Mn 0.000 0.000 2.323
Mn 6.519 0.000 4.638
V 1.264 -2.308 1.164
V 1.264 2.308 1.164
V 2.295 -1.273 3.483
V 2.295 1.273 3.483
V 4.208 -1.287 1.170
V 4.208 1.287 1.170
V 5.223 -2.297 3.460
V 5.223 2.297 3.460
V 6.519 0.000 2.311
V 7.816 -2.297 3.460
V 7.816 2.297 3.460
V 8.831 -1.287 1.170
V 8.831 1.287 1.170
V 10.744 -1.273 3.483
V 10.744 1.273 3.483
V 11.775 -2.308 1.164
V 11.775 2.308 1.164
Si 0.000 -2.086 3.486
Si 0.000 2.086 3.486
Si 2.088 0.000 1.166
Si 3.244 -3.266 2.319
Si 3.244 3.266 2.319
Si 4.389 0.000 3.510
Si 6.519 -2.130 1.111
Si 6.519 2.130 1.111
Si 8.650 0.000 3.510
Si 9.795 -3.266 2.319
Si 9.795 3.266 2.319
Si 10.951 0.000 1.166
```

## Properties
The calculation puts the total energy at -8.809 eV per atom. The value obtained for the formation energy from raw total energies is -0.62 eV per atom. The crystal system is orthorhombic. Its space group is Amm2 (38). The volume comes out at 395 Å³/cell.

---

The following is a DFT calculation (PBEsol) of In3PbW after structural relaxation.

```
5
Lattice="5.237 0.000 0.000 0.000 5.237 0.000 0.000 0.000 5.237" Properties=species:S:1:pos:R:3 pbc="T T T"
In 0.000 0.000 2.618
In 0.000 2.618 0.000
In 2.618 0.000 0.000
Pb 2.618 2.618 2.618
W 0.000 0.000 0.000
```

## Properties
The calculation puts the total energy at -4.633 eV per atom. The crystal system is cubic. Its space group is Pm-3m (221). The volume comes out at 144 Å³/cell.

---

The following is a DFT calculation (PBEsol) of In9Sn4S17 after structural relaxation.

```
60
Lattice="15.119 0.000 0.000 0.000 22.377 0.000 0.000 0.000 3.808" Properties=species:S:1:pos:R:3 pbc="T T T"
In 0.000 0.000 0.000
In 0.747 9.452 0.000
In 0.965 3.092 1.904
In 2.522 5.872 0.000
In 3.511 19.946 1.904
In 4.048 8.758 1.904
In 5.037 17.061 0.000
In 6.595 14.281 1.904
In 6.813 20.641 0.000
In 7.559 11.189 0.000
In 8.306 1.737 0.000
In 8.524 8.096 1.904
In 10.081 5.316 0.000
In 11.071 13.620 1.904
In 11.607 2.431 1.904
In 12.597 16.505 0.000
In 14.154 19.285 1.904
In 14.372 12.925 0.000
Sn 1.489 16.083 1.904
Sn 3.216 12.695 1.904
Sn 4.343 1.506 1.904
Sn 6.071 4.894 1.904
Sn 9.048 17.483 1.904
Sn 10.776 20.871 1.904
Sn 11.903 9.682 1.904
Sn 13.630 6.295 1.904
S 0.000 11.189 1.904
S 0.262 4.743 0.000
S 1.035 20.891 1.904
S 1.539 7.676 1.904
S 1.618 14.087 0.000
S 2.036 1.603 0.000
S 2.844 18.294 0.000
S 3.208 10.354 0.000
S 3.349 4.311 1.904
S 4.211 15.500 1.904
S 4.351 21.543 0.000
S 4.715 7.105 0.000
S 5.523 12.791 0.000
S 5.941 2.899 0.000
S 6.020 18.864 1.904
S 6.524 9.702 1.904
S 7.297 15.932 0.000
S 7.559 0.000 1.904
S 7.822 6.446 0.000
S 8.594 12.675 1.904
S 9.099 3.513 1.904
S 9.178 19.479 0.000
S 9.596 9.586 0.000
S 10.404 15.272 0.000
S 10.768 0.834 0.000
S 10.908 6.878 1.904
S 11.770 18.066 1.904
S 11.910 12.023 0.000
S 12.275 4.083 0.000
S 13.082 20.775 0.000
S 13.501 8.290 0.000
S 13.580 14.702 1.904
S 14.084 1.486 1.904
S 14.857 17.634 0.000
```

## Properties
The calculation puts the total energy at -4.485 eV per atom. The value obtained for the formation energy from raw total energies is -0.54 eV per atom. The crystal system is orthorhombic. Its space group is Pbam (55). The volume comes out at 1288 Å³/cell.

---

The following is a DFT calculation (PBEsol) of MnCdPt2 after structural relaxation.

```
4
Lattice="-1.947 1.947 4.098 1.947 -1.947 4.098 1.947 1.947 -4.098" Properties=species:S:1:pos:R:3 pbc="T T T"
Mn 0.000 0.000 0.000
Cd 0.000 1.947 2.049
Pt 1.947 0.000 2.049
Pt 0.000 0.000 4.098
```

## Properties
The calculation puts the total energy at -6.403 eV per atom. The crystal system is tetragonal. Its space group is I-4m2 (119). The volume comes out at 62 Å³/cell.

---

The following is a DFT calculation (PBEsol) of NaH2Au after structural relaxation.

```
8
Lattice="-2.499 2.499 3.979 2.499 -2.499 3.979 2.499 2.499 -3.979" Properties=species:S:1:pos:R:3 pbc="T T T"
Na 0.000 0.000 0.000
Na 0.000 2.499 1.990
H 1.250 1.682 -0.995
H 3.317 1.250 0.995
H 1.250 0.817 2.985
H -0.817 1.250 4.974
Au 2.499 0.000 1.990
Au 0.000 0.000 3.979
```

## Properties
The calculation puts the total energy at -3.087 eV per atom. The crystal system is tetragonal. Its space group is I-42d (122). The volume comes out at 99 Å³/cell.

---

The following is a DFT calculation (PBEsol) of TeOs2Pb after structural relaxation.

```
4
Lattice="1.579 0.912 8.446 -1.579 0.912 8.446 0.000 -1.823 8.446" Properties=species:S:1:pos:R:3 pbc="T T T"
Te 0.000 0.000 0.000
Os 0.000 0.000 6.471
Os 0.000 0.000 18.867
Pb 0.000 0.000 12.669
```

## Properties
The calculation puts the total energy at -7.074 eV per atom. The value obtained for the formation energy from raw total energies is 0.91 eV per atom. The crystal system is trigonal. Its space group is R-3m (166). The volume comes out at 73 Å³/cell.

---

The following is a DFT calculation (PBEsol) of BaLi2Ir after structural relaxation.

```
4
Lattice="1.524 0.880 10.079 -1.524 0.880 10.079 0.000 -1.760 10.079" Properties=species:S:1:pos:R:3 pbc="T T T"
Ba 0.000 0.000 0.000
Li 0.000 0.000 6.895
Li 0.000 0.000 23.343
Ir 0.000 0.000 15.119
```

## Properties
The calculation puts the total energy at -3.435 eV per atom. The crystal system is trigonal. Its space group is R-3m (166). The volume comes out at 81 Å³/cell.

---

The following is a DFT calculation (PBEsol) of K3Zn after structural relaxation.

```
4
Lattice="-2.944 2.944 5.342 2.944 -2.944 5.342 2.944 2.944 -5.342" Properties=species:S:1:pos:R:3 pbc="T T T"
K 0.000 0.000 0.000
K 2.944 0.000 2.671
K 0.000 2.944 2.671
Zn 0.000 0.000 5.342
```

## Properties
The calculation puts the total energy at -1.031 eV per atom. The crystal system is tetragonal. Its space group is I4/mmm (139). The volume comes out at 185 Å³/cell.

---

The following is a DFT calculation (PBEsol) of Ag2SIBr after structural relaxation.

```
5
Lattice="5.345 0.000 0.000 0.000 5.345 0.000 0.000 0.000 5.002" Properties=species:S:1:pos:R:3 pbc="T T T"
Ag 0.000 2.673 0.000
Ag 2.673 0.000 0.000
S 0.000 0.000 2.501
I 0.000 0.000 0.000
Br 2.673 2.673 2.501
```

## Properties
The calculation puts the total energy at -2.311 eV per atom. The value obtained for the formation energy from raw total energies is 0.62 eV per atom. The crystal system is tetragonal. Its space group is P4/mmm (123). The volume comes out at 143 Å³/cell.